Entry from Alexandria: a geometry-optimized FeO2F4 structure (PBE+U).

Structure (CIF):
```
data_FeO2F4
_cell_length_a 12.9343
_cell_length_b 3.0347
_cell_length_c 4.7209
_cell_angle_alpha 90.00
_cell_angle_beta 95.99
_cell_angle_gamma 90.00
_symmetry_space_group_name_H-M 'C 1 2/m 1'
_symmetry_Int_Tables_number 12
_symmetry_space_group_name_Hall '-C 2y'
loop_
_atom_site_label
_atom_site_type_symbol
_atom_site_fract_x
_atom_site_fract_y
_atom_site_fract_z
_atom_site_occupancy
Fe1 Fe 0.0000 0.0000 0.0000 1
O1 O 0.2438 0.5000 0.2085 1
F1 F 0.0555 0.5000 0.7926 1
F2 F 0.1259 0.0000 0.2669 1
```

Values from the calculation:
The value obtained for the total energy is -0.2892 Ry per atom. Its total moment is 20.00 Bohr magnetons per cell.